Computed, not measured: a geometry-optimized UNiS4 structure at the PBE-GGA level of DFT.

Geometry as POSCAR:
```
UNiS4
1.0
6.421 0.000 0.000
0.000 6.209 0.000
-2.012 0.000 5.998
U Ni S
2 2 8
direct
0.000 0.000 0.000
0.000 0.500 0.500
0.500 0.000 0.500
0.500 0.500 0.000
0.227 0.214 0.362
0.227 0.286 0.862
0.276 0.741 0.308
0.276 0.759 0.808
0.724 0.241 0.192
0.724 0.259 0.692
0.773 0.714 0.138
0.773 0.786 0.638
```

Calculated values
Symmetry   P2_1/c, No. 14
E_form (uncorrected)   -0.695 eV per atom
Energy   -6.292 eV/atom
V   19.9 Å³/atom
Magnetization   0.37 Bohr magnetons per cell